Material: CsCrCdF6
Method: DFT, PBE+U
State: relaxed

Cell: 7.7096 7.8081 7.6907 Å, 120.51 120.08 90.00°
Each line ends with the local moment (μB).
Element x y z (fractional)
Cs1 0.8872 0.6372 0.7744  0.00
Cs2 0.1128 0.3628 0.2256  0.00
Cr1 0.5000 0.0000 0.5000  2.93
Cr2 0.0000 0.0000 0.5000  2.93
Cd1 0.5000 0.5000 0.0000  0.00
Cd2 0.5000 0.0000 0.0000  0.00
F1 0.4027 0.6527 0.8054  0.00
F2 0.7809 0.0309 0.5618  0.01
F3 0.8534 0.0502 0.2484  0.00
F4 0.3950 0.6982 0.2484  0.00
F5 0.3950 0.0502 0.2484  0.00
F6 0.8534 0.6982 0.2484  0.00
F7 0.5973 0.3473 0.1946  0.00
F8 0.2191 0.9691 0.4382  0.01
F9 0.1466 0.9498 0.7516  0.00
F10 0.6050 0.3018 0.7516  0.00
F11 0.6050 0.9498 0.7516  0.00
F12 0.1466 0.3018 0.7516  0.00

Space-group type: Imma
E_tot, eV/cell: -88.48
Total moment, μB per cell: 6.00